Below is RbLiPaSe3 after structural relaxation, with properties calculated at the PBE level.

a = 4.259 Å, b = 9.433 Å, c = 9.774 Å
α = 108.49°, β = 90.00°, γ = 90.00°
Element x y z (fractional)
Se 0.250 0.533 0.842
Se 0.750 0.203 0.547
Se 0.750 0.467 0.158
Se 0.750 0.870 0.130
Se 0.250 0.797 0.453
Se 0.250 0.130 0.870
Pa 0.250 0.675 0.154
Pa 0.750 0.325 0.846
Rb 0.250 0.208 0.255
Rb 0.750 0.792 0.745
Li 0.750 0.921 0.404
Li 0.250 0.079 0.596

Computed properties:
The calculation puts the magnetization at 2.0 μB/cell. The space group is No. 11. As for the uncorrected formation energy: -31.68 kcal/mol of atoms. The calculation puts the density of states at the Fermi level at 11.30 states/eV/cell.